Entry 1:
Entry from the Alexandria database: an optimized crystal structure of DySc3Mn (PBE).

Summary:
The energy of formation is 0.1332 eV per atom. As for the space-group type: No. 221.

Cell and atoms, written as CIF:
```
data_DySc3Mn
_cell_length_a 4.939
_cell_length_b 4.939
_cell_length_c 4.939
_cell_angle_alpha 90.00
_cell_angle_beta 90.00
_cell_angle_gamma 90.00
_symmetry_space_group_name_H-M 'P 1'
_symmetry_Int_Tables_number 1
_symmetry_space_group_name_Hall 'P 1'
loop_
_atom_site_label
_atom_site_type_symbol
_atom_site_fract_x
_atom_site_fract_y
_atom_site_fract_z
_atom_site_occupancy
Mn1 Mn 0.000 0.000 0.000 1
Sc1 Sc 0.500 0.000 0.000 1
Sc2 Sc 0.000 0.000 0.500 1
Sc3 Sc 0.000 0.500 0.000 1
Dy1 Dy 0.500 0.500 0.500 1
```

Entry 2:
Entry from the Alexandria database: an optimized crystal structure of DyScMn4 (PBE).

Summary:
The energy of formation is 0.0283 eV per atom. As for the space-group type: No. 216.

Cell and atoms, written as CIF:
```
data_DyScMn4
_cell_length_a 5.008
_cell_length_b 5.008
_cell_length_c 5.008
_cell_angle_alpha 60.00
_cell_angle_beta 60.00
_cell_angle_gamma 60.00
_symmetry_space_group_name_H-M 'P 1'
_symmetry_Int_Tables_number 1
_symmetry_space_group_name_Hall 'P 1'
loop_
_atom_site_label
_atom_site_type_symbol
_atom_site_fract_x
_atom_site_fract_y
_atom_site_fract_z
_atom_site_occupancy
Mn1 Mn 0.625 0.625 0.124 1
Mn2 Mn 0.124 0.625 0.625 1
Mn3 Mn 0.625 0.625 0.625 1
Mn4 Mn 0.625 0.124 0.625 1
Sc1 Sc 0.000 0.000 0.000 1
Dy1 Dy 0.250 0.250 0.250 1
```

Entry 3:
Entry from the Alexandria database: an optimized crystal structure of DySc2Mn (PBE).

Summary:
The energy of formation is 0.2602 eV per atom. The relative energy among the computed polymorphs comes out at 177 meV/atom. As for the space-group type: No. 166.

Cell and atoms, written as CIF:
```
data_DySc2Mn
_cell_length_a 4.763
_cell_length_b 4.763
_cell_length_c 5.445
_cell_angle_alpha 64.06
_cell_angle_beta 64.06
_cell_angle_gamma 60.00
_symmetry_space_group_name_H-M 'P 1'
_symmetry_Int_Tables_number 1
_symmetry_space_group_name_Hall 'P 1'
loop_
_atom_site_label
_atom_site_type_symbol
_atom_site_fract_x
_atom_site_fract_y
_atom_site_fract_z
_atom_site_occupancy
Mn1 Mn 0.500 0.500 0.500 1
Sc1 Sc 0.226 0.226 0.323 1
Sc2 Sc 0.774 0.774 0.677 1
Dy1 Dy 0.000 0.000 0.000 1
```

Entry 4:
Entry from the Alexandria database: an optimized crystal structure of Dy2ScMnSe6 (PBE).

Summary:
As for the space-group type: No. 1. The value obtained for the formation energy from raw total energies is -133.2 kJ/mol of atoms.

Cell and atoms, written as CIF:
```
data_Dy2ScMnSe6
_cell_length_a 6.942
_cell_length_b 6.935
_cell_length_c 7.354
_cell_angle_alpha 61.80
_cell_angle_beta 61.83
_cell_angle_gamma 60.06
_symmetry_space_group_name_H-M 'P 1'
_symmetry_Int_Tables_number 1
_symmetry_space_group_name_Hall 'P 1'
loop_
_atom_site_label
_atom_site_type_symbol
_atom_site_fract_x
_atom_site_fract_y
_atom_site_fract_z
_atom_site_occupancy
Dy1 Dy 0.518 0.518 0.446 1
Dy2 Dy 0.018 0.018 0.944 1
Se1 Se 0.695 0.094 0.765 1
Se2 Se 0.205 0.955 0.256 1
Se3 Se 0.954 0.584 0.257 1
Se4 Se 0.585 0.205 0.256 1
Se5 Se 0.094 0.445 0.765 1
Se6 Se 0.445 0.695 0.766 1
Sc1 Sc 0.823 0.823 0.531 1
Mn1 Mn 0.324 0.324 0.029 1
```

Entry 5:
Entry from the Alexandria database: an optimized crystal structure of DyScMnZn (PBE).

Summary:
The energy of formation is -0.0566 eV per atom. As for the space-group type: No. 216.

Cell and atoms, written as CIF:
```
data_DyScMnZn
_cell_length_a 4.856
_cell_length_b 4.856
_cell_length_c 4.856
_cell_angle_alpha 60.00
_cell_angle_beta 60.00
_cell_angle_gamma 60.00
_symmetry_space_group_name_H-M 'P 1'
_symmetry_Int_Tables_number 1
_symmetry_space_group_name_Hall 'P 1'
loop_
_atom_site_label
_atom_site_type_symbol
_atom_site_fract_x
_atom_site_fract_y
_atom_site_fract_z
_atom_site_occupancy
Mn1 Mn 0.500 0.500 0.500 1
Sc1 Sc 0.250 0.250 0.250 1
Dy1 Dy 0.750 0.750 0.750 1
Zn1 Zn 0.000 0.000 0.000 1
```

Entry 6:
Entry from the Alexandria database: an optimized crystal structure of DyMnSe3 (PBE).

Summary:
As for the space-group type: No. 11. The value obtained for the formation energy from raw total energies is -106.3 kJ/mol of atoms.

Cell and atoms, written as CIF:
```
data_DyMnSe3
_cell_length_a 3.928
_cell_length_b 7.331
_cell_length_c 7.925
_cell_angle_alpha 94.52
_cell_angle_beta 90.00
_cell_angle_gamma 90.00
_symmetry_space_group_name_H-M 'P 1'
_symmetry_Int_Tables_number 1
_symmetry_space_group_name_Hall 'P 1'
loop_
_atom_site_label
_atom_site_type_symbol
_atom_site_fract_x
_atom_site_fract_y
_atom_site_fract_z
_atom_site_occupancy
Dy1 Dy 0.750 0.626 0.787 1
Dy2 Dy 0.250 0.374 0.213 1
Se1 Se 0.750 0.095 0.337 1
Se2 Se 0.250 0.377 0.596 1
Se3 Se 0.750 0.280 0.960 1
Se4 Se 0.750 0.623 0.404 1
Se5 Se 0.250 0.905 0.663 1
Se6 Se 0.250 0.720 0.040 1
Mn1 Mn 0.750 0.153 0.661 1
Mn2 Mn 0.250 0.847 0.339 1
```

Entry 7:
Entry from the Alexandria database: an optimized crystal structure of DyMn4Se8 (PBE).

Summary:
As for the space-group type: No. 166. The value obtained for the formation energy from raw total energies is -64.6 kJ/mol of atoms.

Cell and atoms, written as CIF:
```
data_DyMn4Se8
_cell_length_a 7.418
_cell_length_b 7.418
_cell_length_c 7.925
_cell_angle_alpha 62.09
_cell_angle_beta 62.09
_cell_angle_gamma 60.00
_symmetry_space_group_name_H-M 'P 1'
_symmetry_Int_Tables_number 1
_symmetry_space_group_name_Hall 'P 1'
loop_
_atom_site_label
_atom_site_type_symbol
_atom_site_fract_x
_atom_site_fract_y
_atom_site_fract_z
_atom_site_occupancy
Mn1 Mn 0.500 0.000 0.000 1
Mn2 Mn 0.000 0.000 0.000 1
Mn3 Mn 0.500 0.500 0.000 1
Mn4 Mn 0.000 0.500 0.000 1
Se1 Se 0.734 0.734 0.797 1
Se2 Se 0.241 0.733 0.785 1
Se3 Se 0.759 0.267 0.215 1
Se4 Se 0.759 0.759 0.215 1
Se5 Se 0.733 0.241 0.785 1
Se6 Se 0.266 0.266 0.203 1
Se7 Se 0.241 0.241 0.785 1
Se8 Se 0.267 0.759 0.215 1
Dy1 Dy 0.500 0.500 0.500 1
```

Entry 8:
Entry from the Alexandria database: an optimized crystal structure of Dy2MnSe4 (PBE).

Summary:
As for the space-group type: No. 227. The value obtained for the formation energy from raw total energies is -140.4 kJ/mol of atoms.

Cell and atoms, written as CIF:
```
data_Dy2MnSe4
_cell_length_a 8.205
_cell_length_b 8.205
_cell_length_c 8.208
_cell_angle_alpha 59.99
_cell_angle_beta 59.99
_cell_angle_gamma 89.97
_symmetry_space_group_name_H-M 'P 1'
_symmetry_Int_Tables_number 1
_symmetry_space_group_name_Hall 'P 1'
loop_
_atom_site_label
_atom_site_type_symbol
_atom_site_fract_x
_atom_site_fract_y
_atom_site_fract_z
_atom_site_occupancy
Dy1 Dy 0.500 0.000 0.000 1
Dy2 Dy 0.500 0.500 0.500 1
Dy3 Dy 0.500 0.000 0.500 1
Dy4 Dy 0.000 0.000 0.000 1
Se1 Se 0.258 0.753 0.494 1
Se2 Se 0.747 0.753 0.006 1
Se3 Se 0.253 0.247 0.506 1
Se4 Se 0.742 0.247 0.506 1
Se5 Se 0.747 0.753 0.494 1
Se6 Se 0.747 0.242 0.006 1
Se7 Se 0.253 0.247 0.994 1
Se8 Se 0.253 0.758 0.994 1
Mn1 Mn 0.125 0.375 0.250 1
Mn2 Mn 0.875 0.625 0.750 1
```

Entry 9:
Entry from the Alexandria database: an optimized crystal structure of DyMnSe (PBE).

Summary:
As for the space-group type: No. 166. The value obtained for the formation energy from raw total energies is -53.6 kJ/mol of atoms.

Cell and atoms, written as CIF:
```
data_DyMnSe
_cell_length_a 3.893
_cell_length_b 3.893
_cell_length_c 11.432
_cell_angle_alpha 80.20
_cell_angle_beta 80.20
_cell_angle_gamma 60.00
_symmetry_space_group_name_H-M 'P 1'
_symmetry_Int_Tables_number 1
_symmetry_space_group_name_Hall 'P 1'
loop_
_atom_site_label
_atom_site_type_symbol
_atom_site_fract_x
_atom_site_fract_y
_atom_site_fract_z
_atom_site_occupancy
Mn1 Mn 0.831 0.831 0.507 1
Mn2 Mn 0.169 0.169 0.493 1
Se1 Se 0.280 0.280 0.159 1
Se2 Se 0.720 0.720 0.841 1
Dy1 Dy 0.432 0.432 0.703 1
Dy2 Dy 0.568 0.568 0.297 1
```

Entry 10:
Entry from the Alexandria database: an optimized crystal structure of Sr2DyMnSe5 (PBE).

Summary:
As for the space-group type: No. 36. The value obtained for the formation energy from raw total energies is -147.8 kJ/mol of atoms.

Cell and atoms, written as CIF:
```
data_Sr2DyMnSe5
_cell_length_a 4.165
_cell_length_b 9.429
_cell_length_c 12.855
_cell_angle_alpha 90.00
_cell_angle_beta 90.00
_cell_angle_gamma 102.76
_symmetry_space_group_name_H-M 'P 1'
_symmetry_Int_Tables_number 1
_symmetry_space_group_name_Hall 'P 1'
loop_
_atom_site_label
_atom_site_type_symbol
_atom_site_fract_x
_atom_site_fract_y
_atom_site_fract_z
_atom_site_occupancy
Se1 Se 0.963 0.925 0.524 1
Se2 Se 0.685 0.370 0.870 1
Se3 Se 0.300 0.601 0.679 1
Se4 Se 0.315 0.630 0.370 1
Se5 Se 0.037 0.075 0.024 1
Se6 Se 0.649 0.298 0.510 1
Se7 Se 0.351 0.702 0.010 1
Se8 Se 0.501 0.002 0.762 1
Se9 Se 0.700 0.399 0.179 1
Se10 Se 0.499 0.998 0.262 1
Dy1 Dy 0.800 0.599 0.530 1
Dy2 Dy 0.200 0.401 0.030 1
Sr1 Sr 0.878 0.755 0.187 1
Sr2 Sr 0.122 0.245 0.687 1
Sr3 Sr 0.120 0.241 0.334 1
Sr4 Sr 0.880 0.759 0.834 1
Mn1 Mn 0.557 0.115 0.928 1
Mn2 Mn 0.443 0.885 0.428 1
```

| no. | total energy (eV/atom) |
| --- | --- |
| 1 | -6.420 |
| 2 | -7.907 |
| 3 | -6.349 |
| 4 | -5.942 |
| 5 | -5.401 |
| 6 | -5.947 |
| 7 | -5.990 |
| 8 | -6.072 |
| 9 | -6.308 |
| 10 | -5.371 |